A plane-wave DFT calculation with PBE-GGA was carried out for a relaxed structure of SiAsCl2.

Total magnetic moment = 0.2 μB per formula unit
Symmetry = No. 166
Uncorrected formation energy = 0.883 eV/f.u.
Polymorph energy (0 for the lowest one) = 0.645 eV per atom
E = -3.221 eV/atom

```
data_SiAsCl2
_chemical_formula_sum 'Si1 As1 Cl2'
_symmetry_space_group_name_H-M 'P 1'
_symmetry_Int_Tables_number 1
_symmetry_space_group_name_Hall 'P 1'
_cell_length_a 12.0863
_cell_length_b 12.0863
_cell_length_c 12.0863
_cell_angle_alpha 16.16
_cell_angle_beta 16.16
_cell_angle_gamma 16.16
loop_
_atom_site_label
_atom_site_type_symbol
_atom_site_fract_x
_atom_site_fract_y
_atom_site_fract_z
Si1 Si 0.2500 0.2500 0.2500
Cl1 Cl 0.5363 0.5363 0.5363
As1 As 0.7500 0.7500 0.7500
Cl2 Cl 0.9637 0.9637 0.9637
```

=====

A plane-wave DFT calculation with PBE-GGA was carried out for a relaxed structure of SiAsCl2.

Total magnetic moment = 0.0 μB per formula unit
Symmetry = No. 123
Uncorrected formation energy = 1.052 eV/f.u.
Polymorph energy (0 for the lowest one) = 0.688 eV per atom
E = -3.178 eV/atom

```
data_SiAsCl2
_chemical_formula_sum 'Si1 As1 Cl2'
_symmetry_space_group_name_H-M 'P 1'
_symmetry_Int_Tables_number 1
_symmetry_space_group_name_Hall 'P 1'
_cell_length_a 3.1025
_cell_length_b 3.1025
_cell_length_c 12.0368
_cell_angle_alpha 90.00
_cell_angle_beta 90.00
_cell_angle_gamma 90.00
loop_
_atom_site_label
_atom_site_type_symbol
_atom_site_fract_x
_atom_site_fract_y
_atom_site_fract_z
Cl1 Cl 0.0000 0.0000 0.3845
Cl2 Cl 0.0000 0.0000 0.1155
As1 As 0.5000 0.5000 0.7500
Si1 Si 0.5000 0.5000 0.2500
```

=====

A plane-wave DFT calculation with PBE-GGA was carried out for a relaxed structure of SiAsCl2.

Total magnetic moment = 0.0 μB per formula unit
Symmetry = No. 6
Uncorrected formation energy = -1.699 eV/f.u.
Polymorph energy (0 for the lowest one) = 0.000 eV per atom
E = -3.866 eV/atom

```
data_SiAsCl2
_chemical_formula_sum 'Si1 As1 Cl2'
_symmetry_space_group_name_H-M 'P 1'
_symmetry_Int_Tables_number 1
_symmetry_space_group_name_Hall 'P 1'
_cell_length_a 3.7109
_cell_length_b 3.6972
_cell_length_c 8.5911
_cell_angle_alpha 68.57
_cell_angle_beta 90.00
_cell_angle_gamma 90.00
loop_
_atom_site_label
_atom_site_type_symbol
_atom_site_fract_x
_atom_site_fract_y
_atom_site_fract_z
As1 As 0.5000 0.8930 0.6047
Si1 Si 0.0000 0.3529 0.6520
Cl1 Cl 0.5000 0.1242 0.3300
Cl2 Cl 0.0000 0.1299 0.9133
```

=====

A plane-wave DFT calculation with PBE-GGA was carried out for a relaxed structure of SiAsCl2.

Total magnetic moment = 0.0 μB per formula unit
Symmetry = No. 122
Uncorrected formation energy = 0.943 eV/f.u.
Polymorph energy (0 for the lowest one) = 0.660 eV per atom
E = -3.206 eV/atom

```
data_SiAsCl2
_chemical_formula_sum 'Si2 As2 Cl4'
_symmetry_space_group_name_H-M 'P 1'
_symmetry_Int_Tables_number 1
_symmetry_space_group_name_Hall 'P 1'
_cell_length_a 4.3242
_cell_length_b 4.3242
_cell_length_c 9.4999
_cell_angle_alpha 76.84
_cell_angle_beta 76.84
_cell_angle_gamma 90.00
loop_
_atom_site_label
_atom_site_type_symbol
_atom_site_fract_x
_atom_site_fract_y
_atom_site_fract_z
As1 As 0.0000 0.0000 0.0000
Cl1 Cl 0.6237 0.1250 0.2500
As2 As 0.7500 0.2500 0.5000
Si1 Si 0.5000 0.5000 0.0000
Cl2 Cl 0.3750 0.3763 0.7500
Cl3 Cl 0.8750 0.8737 0.7500
Si2 Si 0.2500 0.7500 0.5000
Cl4 Cl 0.1263 0.6250 0.2500
```

=====

A plane-wave DFT calculation with PBE-GGA was carried out for a relaxed structure of SiAsCl2.

Total magnetic moment = 0.0 μB per formula unit
Symmetry = No. 119
Uncorrected formation energy = 1.592 eV/f.u.
Polymorph energy (0 for the lowest one) = 0.823 eV per atom
E = -3.043 eV/atom

```
data_SiAsCl2
_chemical_formula_sum 'Si1 As1 Cl2'
_symmetry_space_group_name_H-M 'P 1'
_symmetry_Int_Tables_number 1
_symmetry_space_group_name_Hall 'P 1'
_cell_length_a 4.7461
_cell_length_b 4.7461
_cell_length_c 4.7461
_cell_angle_alpha 120.10
_cell_angle_beta 120.10
_cell_angle_gamma 89.83
loop_
_atom_site_label
_atom_site_type_symbol
_atom_site_fract_x
_atom_site_fract_y
_atom_site_fract_z
Cl1 Cl 0.2500 0.7500 0.5000
As1 As 0.7500 0.2500 0.5000
Si1 Si 0.5000 0.5000 0.0000
Cl2 Cl 0.0000 0.0000 0.0000
```

=====

A plane-wave DFT calculation with PBE-GGA was carried out for a relaxed structure of SiAsCl2.

Total magnetic moment = 0.0 μB per formula unit
Symmetry = No. 12
Uncorrected formation energy = 0.737 eV/f.u.
Polymorph energy (0 for the lowest one) = 0.609 eV per atom
E = -3.257 eV/atom

```
data_SiAsCl2
_chemical_formula_sum 'Si1 As1 Cl2'
_symmetry_space_group_name_H-M 'P 1'
_symmetry_Int_Tables_number 1
_symmetry_space_group_name_Hall 'P 1'
_cell_length_a 5.2661
_cell_length_b 5.2661
_cell_length_c 4.4355
_cell_angle_alpha 66.66
_cell_angle_beta 66.66
_cell_angle_gamma 108.64
loop_
_atom_site_label
_atom_site_type_symbol
_atom_site_fract_x
_atom_site_fract_y
_atom_site_fract_z
As1 As 0.0000 0.5000 0.5000
Si1 Si 0.5000 0.0000 0.5000
Cl1 Cl 0.0000 0.0000 0.0000
Cl2 Cl 0.5000 0.5000 0.0000
```